*i*
CaReMo2 at its PBEsol-relaxed geometry. Source: Alexandria via LeMat-Bulk, functional SCAN.

a b c (Å): 3.085 4.748 9.232
angles (deg): 90.00 90.00 90.00
Space group Imm2 (No. 44)
Asymmetric unit:
Ca 0.000 0.000 0.000 x2
Re 0.000 0.500 0.230 x2
Mo 0.000 0.000 0.505 x2
Mo 0.000 0.500 0.769 x2

Summary:
The calculation puts the density of states at the Fermi level at 3.24 states/eV/f.u. The volume is 16.9 Å³ per atom.



*ii*
CaReMo2 at its PBEsol-relaxed geometry. Source: Alexandria via LeMat-Bulk, functional SCAN.

a b c (Å): 5.378 9.500 2.621
angles (deg): 90.00 90.00 90.00
Space group Cmmm (No. 65)
Asymmetric unit:
Ca 0.000 0.000 0.000 x2
Re 0.000 0.500 0.000 x2
Mo 0.250 0.250 0.500 x4

Summary:
The calculation puts the density of states at the Fermi level at 3.09 states/eV/f.u. The volume is 16.7 Å³ per atom.



The computed energies, referenced to the most stable structure and given in meV per atom, are *i* 0; *ii* 151.